La6Co2Pb, relaxed, DFT GGA-PBE; total DFT energy (no corrections) = -5.513 eV per atom; N(E_F) = 7.0 states/eV/f.u.; magnetic moment = 0.00 μB per cell
1.0
8.4284 -0.1798 -2.7761
-4.6924 7.1051 -2.5051
0.1885 0.1798 8.8718
La Co Pb
12 4 2
direct
0.6828 0.0164 0.3336
0.6828 0.3492 0.6664
0.3172 0.6508 0.3336
0.7927 0.7759 0.5686
0.2073 0.7759 0.9832
0.5254 0.6973 0.8281
0.8691 0.6973 0.1719
0.1309 0.3027 0.8281
0.2073 0.2241 0.4314
0.4746 0.3027 0.1719
0.7927 0.2241 0.0168
0.3172 0.9836 0.6664
0.7164 0.0000 0.7164
0.5000 0.3553 0.8553
0.2836 0.0000 0.2836
0.5000 0.6447 0.1447
0.0000 0.5000 0.5000
0.0000 0.0000 0.0000